No. 1
A plane-wave DFT calculation with PBE was carried out for crystalline HfTaZnIr2 at its relaxed geometry.

The space group is P4/mmm.

Cell lengths 4.7967, 4.7967, 4.9709 Å; angles 90.00, 90.00, 90.00 degrees
With the nearest neighbours (Å) after each atom.
Fractional coordinates of all 5 atoms:
Hf  0.0000  0.0000  0.0000  4 Ir 2.40, 2 Ta 2.49
Ta  0.0000  0.0000  0.5000  2 Hf 2.49
Zn  0.5000  0.5000  0.5000  4 Ta 3.39, 8 Ir 3.45
Ir  0.0000  0.5000  0.0000  2 Hf 2.40
Ir  0.5000  0.0000  0.0000  2 Hf 2.40

***

No. 2
A plane-wave DFT calculation with PBE was carried out for crystalline TbHf2Ir2 at its relaxed geometry.

The space group is I4/mmm.

Cell lengths 6.3470, 6.3470, 6.3470 Å; angles 138.89, 138.89, 59.55 degrees
With the nearest neighbours (Å) after each atom.
Fractional coordinates of all 5 atoms:
Tb  0.0000  0.0000  0.0000  8 Ir 3.40, 8 Hf 3.54
Hf  0.2500  0.7500  0.5000  4 Ir 2.67
Hf  0.7500  0.2500  0.5000  4 Ir 2.67
Ir  0.3835  0.3835  0.0000  1 Ir 2.57, 4 Hf 2.67
Ir  0.6165  0.6165  0.0000  1 Ir 2.57, 4 Hf 2.67

***

No. 3
A plane-wave DFT calculation with PBE was carried out for crystalline Tb3HfIr4 at its relaxed geometry.

The space group is P4/mmm.

Cell lengths 3.3368, 3.3368, 14.1614 Å; angles 90.00, 90.00, 90.00 degrees
With the nearest neighbours (Å) after each atom.
Fractional coordinates of all 8 atoms:
Tb  0.0000  0.0000  0.0000  8 Ir 2.99, 4 Tb 3.34
Tb  0.0000  0.0000  0.2554  8 Ir 2.96-3.05
Tb  0.0000  0.0000  0.7446  8 Ir 2.96-3.05
Hf  0.0000  0.0000  0.5000  8 Ir 2.81
Ir  0.5000  0.5000  0.1292  8 Tb 2.96-2.99
Ir  0.5000  0.5000  0.3920  4 Hf 2.81, 4 Tb 3.05, 1 Ir 3.06
Ir  0.5000  0.5000  0.6080  4 Hf 2.81, 4 Tb 3.05, 1 Ir 3.06
Ir  0.5000  0.5000  0.8708  8 Tb 2.96-2.99

***

No. 4
A plane-wave DFT calculation with PBE was carried out for crystalline TbHfIr4 at its relaxed geometry.

The space group is F-43m.

Cell lengths 5.2985, 5.2985, 5.2985 Å; angles 60.00, 60.00, 60.00 degrees
With the nearest neighbours (Å) after each atom.
Fractional coordinates of all 6 atoms:
Tb  0.0000  0.0000  0.0000  12 Ir 3.11, 4 Hf 3.24
Hf  0.2500  0.2500  0.2500  12 Ir 3.11, 4 Tb 3.24
Ir  0.1250  0.6250  0.6250  6 Ir 2.65
Ir  0.6250  0.1250  0.6250  6 Ir 2.65
Ir  0.6250  0.6250  0.1250  6 Ir 2.65
Ir  0.6250  0.6250  0.6250  6 Ir 2.65

***

No. 5
A plane-wave DFT calculation with PBE was carried out for crystalline TbHfIr2 at its relaxed geometry.

The space group is P4/mmm.

Cell lengths 3.3256, 3.3256, 6.9026 Å; angles 90.00, 90.00, 90.00 degrees
With the nearest neighbours (Å) after each atom.
Fractional coordinates of all 4 atoms:
Tb  0.0000  0.0000  0.0000  8 Ir 3.03, 4 Tb 3.33
Hf  0.0000  0.0000  0.5000  8 Ir 2.81
Ir  0.5000  0.5000  0.2769  4 Hf 2.81, 4 Tb 3.03, 1 Ir 3.08
Ir  0.5000  0.5000  0.7231  4 Hf 2.81, 4 Tb 3.03, 1 Ir 3.08

***

No. 6
A plane-wave DFT calculation with PBE was carried out for crystalline TbHfTcIr at its relaxed geometry.

The space group is F-43m.

Cell lengths 4.7229, 4.7229, 4.7229 Å; angles 60.00, 60.00, 60.00 degrees
With the nearest neighbours (Å) after each atom.
Fractional coordinates of all 4 atoms:
Tb  0.0000  0.0000  0.0000  4 Tc 2.89, 4 Ir 2.89
Hf  0.5000  0.5000  0.5000  4 Tc 2.89, 4 Ir 2.89
Tc  0.7500  0.7500  0.7500  4 Hf 2.89, 4 Tb 2.89
Ir  0.2500  0.2500  0.2500  4 Hf 2.89, 4 Tb 2.89

***

No. 7
A plane-wave DFT calculation with PBE was carried out for crystalline TbHfTiIr2 at its relaxed geometry.

The space group is I-4m2.

Cell lengths 6.2831, 6.2831, 6.2831 Å; angles 139.54, 139.54, 58.56 degrees
With the nearest neighbours (Å) after each atom.
Fractional coordinates of all 5 atoms:
Tb  0.0000  0.0000  0.0000  8 Ir 3.33, 4 Hf 3.50, 4 Ti 3.50
Hf  0.2500  0.7500  0.5000  4 Ir 2.61
Ti  0.7500  0.2500  0.5000  4 Ir 2.61
Ir  0.3825  0.3825  0.0000  1 Ir 2.58, 2 Ti 2.61, 2 Hf 2.61
Ir  0.6175  0.6175  0.0000  1 Ir 2.58, 2 Ti 2.61, 2 Hf 2.61

***

No. 8
A plane-wave DFT calculation with PBE was carried out for crystalline TbHfZnIr at its relaxed geometry.

The space group is F-43m.

Cell lengths 4.8015, 4.8015, 4.8015 Å; angles 60.00, 60.00, 60.00 degrees
With the nearest neighbours (Å) after each atom.
Fractional coordinates of all 4 atoms:
Tb  0.0000  0.0000  0.0000  4 Ir 2.94, 4 Zn 2.94
Hf  0.5000  0.5000  0.5000  4 Ir 2.94, 4 Zn 2.94
Zn  0.2500  0.2500  0.2500  4 Hf 2.94, 4 Tb 2.94
Ir  0.7500  0.7500  0.7500  4 Hf 2.94, 4 Tb 2.94

***

No. 9
A plane-wave DFT calculation with PBE was carried out for crystalline Hf3TcIr at its relaxed geometry.

The calculation puts the energy above the most stable polymorph in this dataset at 0.14 eV per formula unit. The space group is Pm-3m.

Cell lengths 4.8529, 4.8529, 4.8529 Å; angles 90.00, 90.00, 90.00 degrees
With the nearest neighbours (Å) after each atom.
Fractional coordinates of all 5 atoms:
Hf  0.0000  0.0000  0.5000  2 Tc 2.43
Hf  0.0000  0.5000  0.0000  2 Tc 2.43
Hf  0.5000  0.0000  0.0000  2 Tc 2.43
Tc  0.0000  0.0000  0.0000  6 Hf 2.43
Ir  0.5000  0.5000  0.5000  12 Hf 3.43

***

No. 10
A plane-wave DFT calculation with PBE was carried out for crystalline Hf4Tc2Ir at its relaxed geometry.

The space group is I4/mmm.

Cell lengths 5.6032, 5.6032, 5.6032 Å; angles 109.96, 109.96, 108.49 degrees
With the nearest neighbours (Å) after each atom.
Fractional coordinates of all 7 atoms:
Hf  0.0000  0.0000  0.5000  4 Tc 2.80, 2 Ir 2.80
Hf  0.0000  0.5000  0.0000  4 Tc 2.80, 2 Ir 2.80
Hf  0.5000  0.0000  0.0000  4 Tc 2.80, 2 Ir 2.80
Hf  0.5000  0.5000  0.5000  4 Tc 2.80, 2 Ir 2.80
Tc  0.0000  0.5000  0.5000  8 Hf 2.80
Tc  0.5000  0.0000  0.5000  8 Hf 2.80
Ir  0.0000  0.0000  0.0000  8 Hf 2.80

***

No. 11
A plane-wave DFT calculation with PBE was carried out for crystalline HfTc2Ir2 at its relaxed geometry.

The calculation puts the energy above the most stable polymorph in this dataset at 0.09 eV per formula unit. The space group is P4/mbm.

Cell lengths 7.6117, 7.6117, 2.7822 Å; angles 90.00, 90.00, 90.00 degrees
With the nearest neighbours (Å) after each atom.
Fractional coordinates of all 10 atoms:
Hf  0.0000  0.0000  0.0000  2 Hf 2.78, 4 Ir 3.02
Hf  0.5000  0.5000  0.0000  2 Hf 2.78, 4 Ir 3.02
Tc  0.1743  0.3257  0.5000  6 Ir 2.59-2.69, 2 Tc 2.78
Tc  0.3257  0.8257  0.5000  6 Ir 2.59-2.69, 2 Tc 2.78
Tc  0.6743  0.1743  0.5000  6 Ir 2.59-2.69, 2 Tc 2.78
Tc  0.8257  0.6743  0.5000  6 Ir 2.59-2.69, 2 Tc 2.78
Ir  0.1232  0.6232  0.0000  6 Tc 2.59-2.69, 3 Ir 2.65-2.78
Ir  0.3768  0.1232  0.0000  6 Tc 2.59-2.69, 3 Ir 2.65-2.78
Ir  0.6232  0.8768  0.0000  6 Tc 2.59-2.69, 3 Ir 2.65-2.78
Ir  0.8768  0.3768  0.0000  6 Tc 2.59-2.69, 3 Ir 2.65-2.78

***

No. 12
A plane-wave DFT calculation with PBE was carried out for crystalline HfTcIr2 at its relaxed geometry.

The calculation puts the energy above the most stable polymorph in this dataset at 2.74 eV per formula unit. The space group is I-42d.

Cell lengths 9.4653, 9.4653, 9.4653 Å; angles 156.07, 156.07, 34.10 degrees
With the nearest neighbours (Å) after each atom.
Fractional coordinates of all 8 atoms:
Hf  0.0000  0.0000  0.0000  4 Ir 2.68, 4 Tc 2.78
Hf  0.7500  0.2500  0.5000  4 Ir 2.68, 4 Tc 2.78
Tc  0.2500  0.7500  0.5000  4 Ir 2.63, 4 Hf 2.78
Tc  0.5000  0.5000  0.0000  4 Ir 2.63, 4 Hf 2.78
Ir  0.1426  0.6250  0.0176  2 Tc 2.63, 4 Ir 2.68-2.87, 2 Hf 2.68
Ir  0.3750  0.3926  0.5176  2 Tc 2.63, 4 Ir 2.68-2.87, 2 Hf 2.68
Ir  0.6074  0.1250  0.9824  2 Tc 2.63, 4 Ir 2.68-2.87, 2 Hf 2.68
Ir  0.8750  0.8574  0.4824  2 Tc 2.63, 4 Ir 2.68-2.87, 2 Hf 2.68

***

Results for E_tot: -6.537, -9.279, -8.237, -9.038, -8.948, -8.992, -8.842, -6.672, -9.132, -10.410, -9.895, -9.364 (in eV per atom, following the order of the records).